Record 1
Nd6Sm2Ho3Mg: relaxed, PBE-GGA.

CIF file:
```
data_Nd6Sm2Ho3Mg
_chemical_formula_sum 'Nd12 Sm4 Ho6 Mg2'
_cell_length_a 6.244
_cell_length_b 10.823
_cell_length_c 11.856
_cell_angle_alpha 90.00
_cell_angle_beta 100.13
_cell_angle_gamma 90.00
_space_group_name_H-M_alt 'C 1 2/m 1'
_space_group_IT_number 12
_space_group_name_Hall '-C 2y'
loop_
_atom_site_label
_atom_site_type_symbol
_atom_site_fract_x
_atom_site_fract_y
_atom_site_fract_z
Nd1 Nd 0.248 0.000 0.248
Nd2 Nd 0.249 0.166 0.751
Sm1 Sm 0.000 0.333 0.500
Ho1 Ho 0.000 0.166 0.000
Ho2 Ho 0.000 0.500 0.000
Mg1 Mg 0.000 0.000 0.500
```

Results
The value obtained for the formation energy is 1.3 kJ/mol of atoms. The volume is 32.9 A^3/atom.


Record 2
Nd4Sm2HoMg: relaxed, PBE-GGA.

CIF file:
```
data_Nd4Sm2HoMg
_chemical_formula_sum 'Nd4 Sm2 Ho1 Mg1'
_cell_length_a 5.083
_cell_length_b 5.083
_cell_length_c 10.139
_cell_angle_alpha 90.00
_cell_angle_beta 90.00
_cell_angle_gamma 90.00
_space_group_name_H-M_alt 'P 4/m m m'
_space_group_IT_number 123
_space_group_name_Hall '-P 4 2'
loop_
_atom_site_label
_atom_site_type_symbol
_atom_site_fract_x
_atom_site_fract_y
_atom_site_fract_z
Nd1 Nd 0.000 0.500 0.247
Sm1 Sm 0.000 0.000 0.000
Sm2 Sm 0.500 0.500 0.500
Ho1 Ho 0.000 0.000 0.500
Mg1 Mg 0.500 0.500 0.000
```

Results
The value obtained for the formation energy is 0.7 kJ/mol of atoms. The volume is 32.7 A^3/atom.


Record 3
Nd3Sm6Ho2Mg: relaxed, PBE-GGA.

CIF file:
```
data_Nd3Sm6Ho2Mg
_chemical_formula_sum 'Nd6 Sm12 Ho4 Mg2'
_cell_length_a 6.250
_cell_length_b 10.838
_cell_length_c 11.849
_cell_angle_alpha 90.00
_cell_angle_beta 100.21
_cell_angle_gamma 90.00
_space_group_name_H-M_alt 'C 1 2/m 1'
_space_group_IT_number 12
_space_group_name_Hall '-C 2y'
loop_
_atom_site_label
_atom_site_type_symbol
_atom_site_fract_x
_atom_site_fract_y
_atom_site_fract_z
Nd1 Nd 0.000 0.000 0.000
Nd2 Nd 0.000 0.333 0.000
Sm1 Sm 0.246 0.334 0.744
Sm2 Sm 0.248 0.000 0.745
Ho1 Ho 0.000 0.166 0.500
Mg1 Mg 0.000 0.500 0.500
```

Results
The value obtained for the formation energy is 2.9 kJ/mol of atoms. The volume is 32.9 A^3/atom.


Record 4
SrNdHoMg: relaxed, PBE-GGA.

CIF file:
```
data_SrNdHoMg
_chemical_formula_sum 'Sr4 Nd4 Ho4 Mg4'
_cell_length_a 8.177
_cell_length_b 8.177
_cell_length_c 8.177
_cell_angle_alpha 90.00
_cell_angle_beta 90.00
_cell_angle_gamma 90.00
_space_group_name_H-M_alt 'F -4 3 m'
_space_group_IT_number 216
_space_group_name_Hall 'F -4 2 3'
loop_
_atom_site_label
_atom_site_type_symbol
_atom_site_fract_x
_atom_site_fract_y
_atom_site_fract_z
Sr1 Sr 0.000 0.000 0.000
Nd1 Nd 0.000 0.000 0.500
Ho1 Ho 0.250 0.250 0.250
Mg1 Mg 0.250 0.250 0.750
```

Results
The value obtained for the formation energy is 13.1 kJ/mol of atoms. The volume is 34.2 A^3/atom.


Record 5
TbNd6Ho2Mg: relaxed, PBE-GGA.

CIF file:
```
data_TbNd6Ho2Mg
_chemical_formula_sum 'Tb4 Nd24 Ho8 Mg4'
_cell_length_a 9.358
_cell_length_b 15.151
_cell_length_c 9.452
_cell_angle_alpha 90.00
_cell_angle_beta 96.04
_cell_angle_gamma 90.00
_space_group_name_H-M_alt 'C 1 2/c 1'
_space_group_IT_number 15
_space_group_name_Hall '-C 2yc'
loop_
_atom_site_label
_atom_site_type_symbol
_atom_site_fract_x
_atom_site_fract_y
_atom_site_fract_z
Tb1 Tb 0.000 0.026 0.250
Nd1 Nd 0.052 0.177 0.948
Nd2 Nd 0.102 0.394 0.108
Nd3 Nd 0.219 0.216 0.303
Ho1 Ho 0.247 0.449 0.447
Mg1 Mg 0.000 0.414 0.750
```

Results
The value obtained for the formation energy is 11.3 kJ/mol of atoms. The volume is 33.3 A^3/atom.


Record 6
TbNd2Ho6Mg: relaxed, PBE-GGA.

CIF file:
```
data_TbNd2Ho6Mg
_chemical_formula_sum 'Tb4 Nd8 Ho24 Mg4'
_cell_length_a 9.890
_cell_length_b 19.584
_cell_length_c 6.622
_cell_angle_alpha 90.00
_cell_angle_beta 99.13
_cell_angle_gamma 90.00
_space_group_name_H-M_alt 'C 1 2/c 1'
_space_group_IT_number 15
_space_group_name_Hall '-C 2yc'
loop_
_atom_site_label
_atom_site_type_symbol
_atom_site_fract_x
_atom_site_fract_y
_atom_site_fract_z
Tb1 Tb 0.000 0.007 0.250
Nd1 Nd 0.232 0.418 0.000
Ho1 Ho 0.058 0.147 0.528
Ho2 Ho 0.117 0.412 0.484
Ho3 Ho 0.175 0.261 0.223
Mg1 Mg 0.000 0.293 0.750
```

Results
The value obtained for the formation energy is 10.2 kJ/mol of atoms. The volume is 31.7 A^3/atom.


Record 7
Tb4NdHo2Mg: relaxed, PBE-GGA.

CIF file:
```
data_Tb4NdHo2Mg
_chemical_formula_sum 'Tb4 Nd1 Ho2 Mg1'
_cell_length_a 5.786
_cell_length_b 5.786
_cell_length_c 7.448
_cell_angle_alpha 90.00
_cell_angle_beta 90.00
_cell_angle_gamma 90.00
_space_group_name_H-M_alt 'P 4/m m m'
_space_group_IT_number 123
_space_group_name_Hall '-P 4 2'
loop_
_atom_site_label
_atom_site_type_symbol
_atom_site_fract_x
_atom_site_fract_y
_atom_site_fract_z
Tb1 Tb 0.000 0.500 0.246
Nd1 Nd 0.000 0.000 0.000
Ho1 Ho 0.000 0.000 0.500
Ho2 Ho 0.500 0.500 0.500
Mg1 Mg 0.500 0.500 0.000
```

Results
The value obtained for the formation energy is 9.1 kJ/mol of atoms. The volume is 31.2 A^3/atom.


Record 8
Tb6Nd3Ho2Mg: relaxed, PBE-GGA.

CIF file:
```
data_Tb6Nd3Ho2Mg
_chemical_formula_sum 'Tb12 Nd6 Ho4 Mg2'
_cell_length_a 6.186
_cell_length_b 10.722
_cell_length_c 11.760
_cell_angle_alpha 90.00
_cell_angle_beta 100.16
_cell_angle_gamma 90.00
_space_group_name_H-M_alt 'C 1 2/m 1'
_space_group_IT_number 12
_space_group_name_Hall '-C 2y'
loop_
_atom_site_label
_atom_site_type_symbol
_atom_site_fract_x
_atom_site_fract_y
_atom_site_fract_z
Tb1 Tb 0.247 0.166 0.244
Tb2 Tb 0.248 0.500 0.245
Nd1 Nd 0.000 0.166 0.500
Nd2 Nd 0.000 0.500 0.500
Ho1 Ho 0.000 0.333 0.000
Mg1 Mg 0.000 0.000 0.000
```

Results
The value obtained for the formation energy is 3.1 kJ/mol of atoms. The volume is 32.0 A^3/atom.


Record 9
Tb3Nd2Ho6Mg: relaxed, PBE-GGA.

CIF file:
```
data_Tb3Nd2Ho6Mg
_chemical_formula_sum 'Tb6 Nd4 Ho12 Mg2'
_cell_length_a 6.119
_cell_length_b 10.604
_cell_length_c 11.743
_cell_angle_alpha 90.00
_cell_angle_beta 100.06
_cell_angle_gamma 90.00
_space_group_name_H-M_alt 'C 1 2/m 1'
_space_group_IT_number 12
_space_group_name_Hall '-C 2y'
loop_
_atom_site_label
_atom_site_type_symbol
_atom_site_fract_x
_atom_site_fract_y
_atom_site_fract_z
Tb1 Tb 0.000 0.000 0.000
Tb2 Tb 0.000 0.334 0.000
Nd1 Nd 0.000 0.166 0.500
Ho1 Ho 0.248 0.500 0.248
Ho2 Ho 0.249 0.334 0.751
Mg1 Mg 0.000 0.500 0.500
```

Results
The value obtained for the formation energy is 2.0 kJ/mol of atoms. The volume is 31.3 A^3/atom.


Record 10
TbNd4Ho2Mg: relaxed, PBE-GGA.

CIF file:
```
data_TbNd4Ho2Mg
_chemical_formula_sum 'Tb1 Nd4 Ho2 Mg1'
_cell_length_a 5.774
_cell_length_b 5.774
_cell_length_c 7.771
_cell_angle_alpha 90.00
_cell_angle_beta 90.00
_cell_angle_gamma 90.00
_space_group_name_H-M_alt 'P 4/m m m'
_space_group_IT_number 123
_space_group_name_Hall '-P 4 2'
loop_
_atom_site_label
_atom_site_type_symbol
_atom_site_fract_x
_atom_site_fract_y
_atom_site_fract_z
Tb1 Tb 0.000 0.000 0.000
Nd1 Nd 0.000 0.500 0.261
Ho1 Ho 0.000 0.000 0.500
Ho2 Ho 0.500 0.500 0.000
Mg1 Mg 0.500 0.500 0.500
```

Results
The value obtained for the formation energy is 5.0 kJ/mol of atoms. The volume is 32.4 A^3/atom.


Record 11
TbNd2Ho4Mg: relaxed, PBE-GGA.

CIF file:
```
data_TbNd2Ho4Mg
_chemical_formula_sum 'Tb1 Nd2 Ho4 Mg1'
_cell_length_a 4.964
_cell_length_b 4.978
_cell_length_c 10.139
_cell_angle_alpha 90.00
_cell_angle_beta 90.00
_cell_angle_gamma 90.00
_space_group_name_H-M_alt 'P m m m'
_space_group_IT_number 47
_space_group_name_Hall '-P 2 2'
loop_
_atom_site_label
_atom_site_type_symbol
_atom_site_fract_x
_atom_site_fract_y
_atom_site_fract_z
Tb1 Tb 0.000 0.000 0.000
Nd1 Nd 0.000 0.000 0.500
Nd2 Nd 0.500 0.500 0.000
Ho1 Ho 0.000 0.500 0.251
Ho2 Ho 0.500 0.000 0.251
Mg1 Mg 0.500 0.500 0.500
```

Results
The value obtained for the formation energy is 2.9 kJ/mol of atoms. The volume is 31.3 A^3/atom.


Record 12
Tb5Nd2HoMg: relaxed, PBE-GGA.

CIF file:
```
data_Tb5Nd2HoMg
_chemical_formula_sum 'Tb20 Nd8 Ho4 Mg4'
_cell_length_a 5.470
_cell_length_b 20.125
_cell_length_c 10.553
_cell_angle_alpha 90.00
_cell_angle_beta 90.00
_cell_angle_gamma 90.00
_space_group_name_H-M_alt 'C m c 21'
_space_group_IT_number 36
_space_group_name_Hall 'C 2c -2'
loop_
_atom_site_label
_atom_site_type_symbol
_atom_site_fract_x
_atom_site_fract_y
_atom_site_fract_z
Tb1 Tb 0.000 0.000 0.000
Tb2 Tb 0.000 0.119 0.251
Tb3 Tb 0.000 0.211 0.948
Tb4 Tb 0.000 0.212 0.553
Tb5 Tb 0.000 0.486 0.251
Nd1 Nd 0.000 0.385 0.540
Nd2 Nd 0.000 0.385 0.961
Ho1 Ho 0.000 0.296 0.251
Mg1 Mg 0.000 0.095 0.749
```

Results
The value obtained for the formation energy is 9.1 kJ/mol of atoms. The volume is 32.3 A^3/atom.


Among the records above, which one has the lowest volume? Tb4NdHo2Mg


Number 1 is which compound? Nd6Sm2Ho3Mg


Which of these has the highest volume? SrNdHoMg